[1]
Computed, not measured: a crystal of CdCo4 relaxed with PBEsol at the meta-GGA SCAN level of DFT.

Lattice parameters (Å, degrees): 5.732 5.732 3.656 90.00 90.00 90.00
Space group I4/m (No. 87)
One atom of each set of equivalent atoms:
Cd 0.000 0.000 0.000 [2 per cell]
Co 0.084 0.311 0.500 [8 per cell]

## Properties
Calculated formation energy (eV/atom): 0.281
Size of the total moment (μB/f.u.): 6.855

=====

[2]
Computed, not measured: a crystal of Cd3Co relaxed with PBEsol at the meta-GGA SCAN level of DFT.

Lattice parameters (Å, degrees): 2.9300 2.9300 28.5085 90.00 90.00 120.00
Space group R-3m (No. 166, hexagonal axes)
One atom of each set of equivalent atoms:
Cd 0.0000 0.0000 0.0000 [3 per cell]
Cd 0.0000 0.0000 0.2397 [6 per cell]
Co 0.0000 0.0000 0.5000 [3 per cell]

## Properties
Calculated formation energy (eV/atom): 0.205
Size of the total moment (μB/f.u.): 1.798

=====

[3]
Computed, not measured: a crystal of Cd3Co2 relaxed with PBEsol at the meta-GGA SCAN level of DFT.

Lattice parameters (Å, degrees): 2.8491 2.8491 33.9368 90.00 90.00 120.00
Space group R-3m (No. 166, hexagonal axes)
One atom of each set of equivalent atoms:
Cd 0.0000 0.0000 0.0000 [3 per cell]
Cd 0.0000 0.0000 0.2066 [6 per cell]
Co 0.0000 0.0000 0.3967 [6 per cell]

## Properties
Calculated formation energy (eV/atom): 0.309
Size of the total moment (μB/f.u.): 3.303

=====

[4]
Computed, not measured: a crystal of Cd2Co relaxed with PBEsol at the meta-GGA SCAN level of DFT.

Lattice parameters (Å, degrees): 2.8896 2.8896 6.9120 90.00 90.00 120.00
Space group P-3m1 (No. 164)
One atom of each set of equivalent atoms:
Cd 0.3333 0.6667 0.1929 [2 per cell]
Co 0.0000 0.0000 0.5000 [1 per cell]

## Properties
Calculated formation energy (eV/atom): 0.256
Size of the total moment (μB/f.u.): 1.752